Here is an optimized crystal structure of Sr5Tl from Alexandria. Energies are from PBEsol.

Calculated values
* total energy: -2.063 eV per atom
* N(E_F): 6.3 states/eV per cell
* magnetization: 0.00 μB per formula unit
* SG: Cmmm
* energy relative to the elements: -8.8 kJ/mol of atoms

Cell: 9.3864 9.3864 6.0494 Å, 90.00 90.00 150.84°
Last column: nearest neighbours and their distance in Å.
Element x y z (fractional)
Sr  0.0000  0.0000  0.0000  4 Tl 3.84, 8 Sr 3.84-4.00
Sr  0.1441  0.8559  0.5000  2 Tl 3.53, 4 Sr 3.86
Sr  0.3332  0.6668  0.0000  8 Sr 3.84-3.86, 2 Tl 4.28
Sr  0.6668  0.3332  0.0000  8 Sr 3.84-3.86, 2 Tl 4.28
Sr  0.8559  0.1441  0.5000  2 Tl 3.53, 4 Sr 3.86
Tl  0.5000  0.5000  0.5000  8 Sr 3.53-3.84